# 1
VASP calculation (PBE) on crystalline ZnIr2F at its relaxed geometry.

Lattice parameters (Å, degrees): 6.0029 6.0029 6.0029 90.00 90.00 90.00
Space group Fm-3m (No. 225)
Inequivalent atoms, fractional coordinates:
Zn: 0.0000 0.0000 0.0000 (multiplicity 4)
Ir: 0.2500 0.2500 0.2500 (multiplicity 8)
F: 0.0000 0.0000 0.5000 (multiplicity 4)

For the density, the calculation gives 14.40 Mg/m³. The crystal system is cubic. The formation energy (no corrections) comes out at 422.6 meV/atom.

---

# 2
VASP calculation (PBE) on crystalline LiTcAgCl6 at its relaxed geometry.

Lattice parameters (Å, degrees): 6.3651 6.3651 11.8565 90.00 90.00 120.00
Space group P-31c (No. 163)
Inequivalent atoms, fractional coordinates:
Li: 0.3333 0.6667 0.2500 (multiplicity 2)
Tc: 0.3333 0.6667 0.7500 (multiplicity 2)
Ag: 0.0000 0.0000 0.0000 (multiplicity 2)
Cl: 0.0208 0.3677 0.6344 (multiplicity 12)

For the density, the calculation gives 3.40 Mg/m³. The crystal system is trigonal. The formation energy (no corrections) comes out at -890.2 meV/atom.

---

# 3
VASP calculation (PBE) on crystalline Cd2InSb at its relaxed geometry.

Lattice parameters (Å, degrees): 4.6633 4.7121 9.2530 90.00 90.00 90.00
Space group Cmm2 (No. 35)
Inequivalent atoms, fractional coordinates:
Cd: 0.0000 0.0000 0.0000 (multiplicity 2)
Cd: 0.0000 0.5000 0.2229 (multiplicity 2)
In: 0.0000 0.0000 0.4723 (multiplicity 2)
Sb: 0.0000 0.5000 0.7451 (multiplicity 2)

For the density, the calculation gives 7.54 Mg/m³. The crystal system is orthorhombic. The formation energy (no corrections) comes out at 60.5 meV/atom.

---

# 4
VASP calculation (PBE) on crystalline SrScBr2 at its relaxed geometry.

Lattice parameters (Å, degrees): 3.8499 3.8499 28.6000 90.00 90.00 120.00
Space group R-3m (No. 166, hexagonal axes)
Inequivalent atoms, fractional coordinates:
Sr: 0.0000 0.0000 0.0000 (multiplicity 3)
Sc: 0.0000 0.0000 0.5000 (multiplicity 3)
Br: 0.0000 0.0000 0.2268 (multiplicity 6)

For the density, the calculation gives 3.97 Mg/m³. The crystal system is trigonal. The formation energy (no corrections) comes out at -985.0 meV/atom.

---

# 5
VASP calculation (PBE) on crystalline Y2CoCl at its relaxed geometry.

Lattice parameters (Å, degrees): 3.3410 3.4418 7.9989 90.00 90.00 90.00
Space group Pmmm (No. 47)
Inequivalent atoms, fractional coordinates:
Y: 0.0000 0.0000 0.2041 (multiplicity 2)
Co: 0.5000 0.5000 0.0000 (multiplicity 1)
Cl: 0.5000 0.0000 0.5000 (multiplicity 1)

For the density, the calculation gives 4.91 Mg/m³. The crystal system is orthorhombic. The formation energy (no corrections) comes out at -757.0 meV/atom.

---

# 6
VASP calculation (PBE) on crystalline Cs3Dy2I8 at its relaxed geometry.

Lattice parameters (Å, degrees): 9.3088 9.3088 30.1468 90.00 90.00 120.00
Space group R-3m (No. 166, hexagonal axes)
Inequivalent atoms, fractional coordinates:
Cs: 0.0000 0.0000 0.0000 (multiplicity 3)
Cs: 0.0000 0.0000 0.2112 (multiplicity 6)
Dy: 0.0000 0.0000 0.4341 (multiplicity 6)
I: 0.0000 0.0000 0.3354 (multiplicity 6)
I: 0.0294 0.5147 0.7745 (multiplicity 18)

For the density, the calculation gives 3.83 Mg/m³. The crystal system is trigonal. The formation energy (no corrections) comes out at -1327.9 meV/atom.

---

Q: Which of these has the highest formation energy (no corrections)?
A: ZnIr2F